Computed, not measured: an optimized crystal structure of Ni3Cl at the GGA-PBEsol level of DFT.

Lattice parameters (Å, degrees): 2.8829 2.8829 5.8432 90.00 90.00 90.00
With the nearest neighbours (Å) after each atom.
Sites, in units of the cell vectors:
1 Ni 0.0000 0.0000 0.0000  8 Ni 2.40
2 Ni 0.5000 0.5000 0.2184  5 Ni 2.40-2.55, 4 Cl 2.62
3 Ni 0.5000 0.5000 0.7816  5 Ni 2.40-2.55, 4 Cl 2.62
4 Cl 0.0000 0.0000 0.5000  10 Ni 2.62-2.92, 4 Cl 2.88

Properties
The total magnetic moment is 2.1 μB per formula unit. The volume is 48.6 Å³/f.u. The calculation puts the polymorph energy (0 for the lowest one) at 0 kJ/mol of formula units.

***

Computed, not measured: an optimized crystal structure of Ni3Cl at the GGA-PBEsol level of DFT.

Lattice parameters (Å, degrees): 4.2300 4.2300 2.7264 90.00 90.00 107.68
With the nearest neighbours (Å) after each atom.
Sites, in units of the cell vectors:
1 Ni 0.0000 0.0000 0.0000  2 Cl 2.50, 10 Ni 2.52-2.73
2 Ni 0.0000 0.5000 0.5000  8 Ni 2.50-2.73, 4 Cl 2.52
3 Ni 0.5000 0.0000 0.5000  8 Ni 2.50-2.73, 4 Cl 2.52
4 Cl 0.5000 0.5000 0.0000  10 Ni 2.50-2.52, 2 Cl 2.73

Properties
The total magnetic moment is 1.5 μB per formula unit. The volume is 46.5 Å³/f.u. The calculation puts the polymorph energy (0 for the lowest one) at 72 kJ/mol of formula units.

***

Computed, not measured: an optimized crystal structure of Ni3Cl at the GGA-PBEsol level of DFT.

Lattice parameters (Å, degrees): 7.3931 7.3931 7.3931 21.62 21.62 21.62
With the nearest neighbours (Å) after each atom.
Sites, in units of the cell vectors:
1 Ni 0.0000 0.0000 0.0000  6 Ni 2.42
2 Ni 0.2498 0.2498 0.2498  3 Cl 2.41, 3 Ni 2.42
3 Ni 0.7502 0.7502 0.7502  3 Cl 2.41, 3 Ni 2.42
4 Cl 0.5000 0.5000 0.5000  6 Ni 2.41

Properties
The total magnetic moment is 1.9 μB per formula unit. The volume is 48.1 Å³/f.u. The calculation puts the polymorph energy (0 for the lowest one) at 7 kJ/mol of formula units.